No. 1
VASP calculation (PBE) on FeNi after structural relaxation.

Cell lengths 2.4457, 6.0557, 9.7571 Å; angles 90.00, 90.00, 90.00 degrees
Last column: nearest neighbours and their distance in Å.
Fractional coordinates of all 12 atoms:
Fe  0.0000  0.0684  0.6339  4 Ni 2.35-2.61, 3 Fe 2.45-2.61
Fe  0.5000  0.9316  0.8661  4 Ni 2.35-2.61, 3 Fe 2.45-2.61
Fe  0.5000  0.9316  0.1339  4 Ni 2.35-2.61, 3 Fe 2.45-2.61
Fe  0.0000  0.0684  0.3661  4 Ni 2.35-2.61, 3 Fe 2.45-2.61
Fe  0.0000  0.6092  0.0000  6 Fe 2.45-2.65, 4 Ni 2.48-2.67
Fe  0.5000  0.3908  0.5000  6 Fe 2.45-2.65, 4 Ni 2.48-2.67
Ni  0.0000  0.6643  0.7283  5 Ni 2.28-2.45, 2 Fe 2.43
Ni  0.5000  0.3357  0.7717  5 Ni 2.28-2.45, 2 Fe 2.43
Ni  0.5000  0.3357  0.2283  5 Ni 2.28-2.45, 2 Fe 2.43
Ni  0.0000  0.6643  0.2717  5 Ni 2.28-2.45, 2 Fe 2.43
Ni  0.0000  0.7468  0.5000  4 Ni 2.28-2.45, 4 Fe 2.35-2.48
Ni  0.5000  0.2532  0.0000  4 Ni 2.28-2.45, 4 Fe 2.35-2.48

- total moment (μB/atom) = 1.653
- energy of formation from the pure elements (kJ/mol of formula units) = 49
- E_tot (eV per atom) = -6.866



No. 2
VASP calculation (PBE) on Ti2P after structural relaxation.

Cell lengths 3.5085, 6.6134, 6.6134 Å; angles 120.00, 90.00, 90.00 degrees
Last column: nearest neighbours and their distance in Å.
Fractional coordinates of all 9 atoms:
P  0.0000  0.3333  0.6667  9 Ti 2.51-2.66
P  0.0000  0.6667  0.3333  9 Ti 2.51-2.66
P  0.5000  0.0000  0.0000  9 Ti 2.43-2.70
Ti  0.5000  0.5917  0.0000  5 P 2.66-2.70, 6 Ti 2.84-2.94
Ti  0.5000  0.4083  0.4083  5 P 2.66-2.70, 6 Ti 2.84-2.94
Ti  0.5000  0.0000  0.5917  5 P 2.66-2.70, 6 Ti 2.84-2.94
Ti  0.0000  0.0000  0.2541  4 P 2.43-2.51
Ti  0.0000  0.7459  0.7459  4 P 2.43-2.51
Ti  0.0000  0.2541  0.0000  4 P 2.43-2.51

- total moment (μB/atom) = 0.000
- energy of formation from the pure elements (kJ/mol of formula units) = -308
- E_tot (eV per atom) = -8.132



No. 3
VASP calculation (PBE) on Ga2AgPt after structural relaxation.

Cell lengths 3.5745, 4.2593, 4.2593 Å; angles 90.00, 90.00, 90.00 degrees
Last column: nearest neighbours and their distance in Å.
Fractional coordinates of all 4 atoms:
Ga  0.0000  0.0000  0.5000  4 Pt 2.78, 4 Ag 2.78, 4 Ga 3.01
Ga  0.0000  0.5000  0.0000  4 Ag 2.78, 4 Pt 2.78, 4 Ga 3.01
Ag  0.5000  0.0000  0.0000  8 Ga 2.78, 4 Pt 3.01
Pt  0.5000  0.5000  0.5000  8 Ga 2.78, 4 Ag 3.01

- relative energy among the computed polymorphs (meV/atom) = 120
- total moment (μB/atom) = 0.000
- energy of formation from the pure elements (kJ/mol of formula units) = -78
- E_tot (eV per atom) = -3.938



No. 4
VASP calculation (PBE) on TbErPd2 after structural relaxation.

Cell lengths 4.0833, 4.0833, 7.0120 Å; angles 73.07, 73.07, 60.00 degrees
Last column: nearest neighbours and their distance in Å.
Fractional coordinates of all 4 atoms:
Tb  0.0000  0.0000  0.0000  6 Pd 2.90
Pd  0.7519  0.7519  0.7444  3 Er 2.86, 3 Tb 2.90
Pd  0.2481  0.2481  0.2556  3 Er 2.86, 3 Tb 2.90
Er  0.5000  0.5000  0.5000  6 Pd 2.86

- relative energy among the computed polymorphs (meV/atom) = 181
- total moment (μB/atom) = 0.000
- energy of formation from the pure elements (kJ/mol of formula units) = -287
- E_tot (eV per atom) = -5.638



No. 5
VASP calculation (PBE) on MgRuSN2 after structural relaxation.

Cell lengths 3.7717, 3.7717, 5.2128 Å; angles 90.00, 90.00, 90.00 degrees
Last column: nearest neighbours and their distance in Å.
Fractional coordinates of all 5 atoms:
Ru  0.0000  0.0000  0.0000  4 N 1.89
S  0.0000  0.0000  0.5000  2 Ru 2.61, 4 Mg 2.67
Mg  0.5000  0.5000  0.5000  4 S 2.67
N  0.0000  0.5000  0.0000  2 Ru 1.89
N  0.5000  0.0000  0.0000  2 Ru 1.89

- relative energy among the computed polymorphs (meV/atom) = 0
- total moment (μB/atom) = 0.061
- ΔE_f (raw) (eV per atom) = 0.27
- E_tot (eV per atom) = -6.065



No. 6
VASP calculation (PBE) on Y4Er15Tm after structural relaxation.

Cell lengths 4.9753, 4.9753, 24.8806 Å; angles 90.00, 90.00, 90.00 degrees
Last column: nearest neighbours and their distance in Å.
Fractional coordinates of all 20 atoms:
Y  0.0000  0.0000  0.1995  12 Er 3.52-3.53
Y  0.0000  0.0000  0.3998  12 Er 3.52
Y  0.0000  0.0000  0.6002  12 Er 3.52
Y  0.0000  0.0000  0.8005  12 Er 3.52-3.53
Er  0.5000  0.5000  0.0000  8 Er 3.50, 4 Tm 3.52
Er  0.5000  0.5000  0.1992  4 Y 3.52, 8 Er 3.52
Er  0.5000  0.5000  0.3998  4 Y 3.52, 8 Er 3.52
Er  0.5000  0.5000  0.6002  4 Y 3.52, 8 Er 3.52
Er  0.5000  0.5000  0.8008  4 Y 3.52, 8 Er 3.52
Er  0.5000  0.0000  0.0990  8 Er 3.50-3.52, 2 Tm 3.50, 2 Y 3.53
Er  0.5000  0.0000  0.2996  8 Er 3.52, 4 Y 3.52
Er  0.5000  0.0000  0.5000  8 Er 3.52, 4 Y 3.52
Er  0.5000  0.0000  0.7004  8 Er 3.52, 4 Y 3.52
Er  0.5000  0.0000  0.9010  8 Er 3.50-3.52, 2 Tm 3.50, 2 Y 3.53
Er  0.0000  0.5000  0.0990  8 Er 3.50-3.52, 2 Tm 3.50, 2 Y 3.53
Er  0.0000  0.5000  0.2996  8 Er 3.52, 4 Y 3.52
Er  0.0000  0.5000  0.5000  8 Er 3.52, 4 Y 3.52
Er  0.0000  0.5000  0.7004  8 Er 3.52, 4 Y 3.52
Er  0.0000  0.5000  0.9010  8 Er 3.50-3.52, 2 Tm 3.50, 2 Y 3.53
Tm  0.0000  0.0000  0.0000  12 Er 3.50-3.52

- total moment (μB/atom) = 0.000
- energy of formation from the pure elements (kJ/mol of formula units) = 48
- E_tot (eV per atom) = -4.913



No. 7
VASP calculation (PBE) on Be2CoSiP after structural relaxation.

Cell lengths 4.1190, 4.0392, 4.1190 Å; angles 90.00, 90.00, 90.00 degrees
Last column: nearest neighbours and their distance in Å.
Fractional coordinates of all 5 atoms:
P  0.0000  0.5000  0.0000  2 Co 2.02
Si  0.5000  0.5000  0.5000  8 Be 2.88, 4 P 2.91
Co  0.0000  0.0000  0.0000  2 P 2.02, 4 Be 2.06
Be  0.0000  0.0000  0.5000  2 Co 2.06
Be  0.5000  0.0000  0.0000  2 Co 2.06

- total moment (μB/atom) = 0.000
- ΔE_f (raw) (eV per atom) = 0.52
- E_tot (eV per atom) = -4.555



No. 8
VASP calculation (PBE) on Rb2SbAsS4 after structural relaxation.

Cell lengths 8.4327, 8.4327, 8.5350 Å; angles 120.40, 120.40, 89.99 degrees
Last column: nearest neighbours and their distance in Å.
Fractional coordinates of all 16 atoms:
Rb  0.5000  0.0000  0.0000  6 S 3.17
Rb  0.5000  0.0000  0.5000  6 S 3.17
Rb  0.0000  0.0000  0.5000  6 S 3.28-3.29
Rb  0.5000  0.5000  0.0000  6 S 3.28-3.29
Sb  0.0000  0.5000  0.0000  6 S 2.83-2.84
Sb  0.0000  0.5000  0.5000  6 S 2.83-2.84
As  0.5000  0.5000  0.5000  6 S 2.70-2.72
As  0.0000  0.0000  0.0000  6 S 2.70-2.72
S  0.1955  0.7449  0.9702  1 As 2.70, 2 Sb 2.83
S  0.7551  0.3045  0.5298  1 As 2.70, 2 Sb 2.83
S  0.2449  0.6955  0.4702  1 As 2.70, 2 Sb 2.83
S  0.8045  0.2551  0.0298  1 As 2.70, 2 Sb 2.83
S  0.7637  0.7361  0.9535  2 As 2.72, 1 Sb 2.84
S  0.7639  0.7363  0.5465  2 As 2.72, 1 Sb 2.84
S  0.2361  0.2638  0.4535  2 As 2.72, 1 Sb 2.84
S  0.2362  0.2639  0.0465  2 As 2.72, 1 Sb 2.84

- total moment (μB/atom) = 0.000
- ΔE_f (raw) (eV per atom) = -0.50
- E_tot (eV per atom) = -3.902



No. 9
VASP calculation (PBE) on La15Pr4Y after structural relaxation.

Cell lengths 5.2503, 5.2503, 26.3501 Å; angles 90.00, 90.00, 90.00 degrees
Last column: nearest neighbours and their distance in Å.
Fractional coordinates of all 20 atoms:
La  0.5000  0.5000  0.0000  8 La 3.70, 4 Y 3.71
La  0.5000  0.5000  0.1989  4 Pr 3.71, 8 La 3.72
La  0.5000  0.5000  0.3996  4 Pr 3.71, 8 La 3.73
La  0.5000  0.5000  0.6004  4 Pr 3.71, 8 La 3.73
La  0.5000  0.5000  0.8011  4 Pr 3.71, 8 La 3.72
La  0.5000  0.0000  0.0989  8 La 3.70-3.72, 2 Y 3.70, 2 Pr 3.72
La  0.5000  0.0000  0.2990  8 La 3.71-3.73, 4 Pr 3.72-3.73
La  0.5000  0.0000  0.5000  8 La 3.71-3.73, 4 Pr 3.73
La  0.5000  0.0000  0.7010  8 La 3.71-3.73, 4 Pr 3.72-3.73
La  0.5000  0.0000  0.9011  8 La 3.70-3.72, 2 Y 3.70, 2 Pr 3.72
La  0.0000  0.5000  0.0989  8 La 3.70-3.72, 2 Y 3.70, 2 Pr 3.72
La  0.0000  0.5000  0.2990  8 La 3.71-3.73, 4 Pr 3.72-3.73
La  0.0000  0.5000  0.5000  8 La 3.71-3.73, 4 Pr 3.73
La  0.0000  0.5000  0.7010  8 La 3.71-3.73, 4 Pr 3.72-3.73
La  0.0000  0.5000  0.9011  2 Y 3.70, 8 La 3.70-3.72, 2 Pr 3.72
Pr  0.0000  0.0000  0.1988  12 La 3.71-3.72
Pr  0.0000  0.0000  0.3995  12 La 3.71-3.73
Pr  0.0000  0.0000  0.6005  12 La 3.71-3.73
Pr  0.0000  0.0000  0.8012  12 La 3.71-3.72
Y  0.0000  0.0000  0.0000  12 La 3.70-3.71

- total moment (μB/atom) = 0.000
- energy of formation from the pure elements (kJ/mol of formula units) = 17
- E_tot (eV per atom) = -4.966



No. 10
VASP calculation (PBE) on Re3Au after structural relaxation.

Cell lengths 4.9676, 4.9676, 4.9676 Å; angles 90.00, 90.00, 90.00 degrees
Last column: nearest neighbours and their distance in Å.
Fractional coordinates of all 4 atoms:
Au  0.0000  0.0000  0.0000  6 Re 2.48
Re  0.0000  0.0000  0.5000  2 Au 2.48
Re  0.0000  0.5000  0.0000  2 Au 2.48
Re  0.5000  0.0000  0.0000  2 Au 2.48

- total moment (μB/atom) = 1.752
- energy of formation from the pure elements (kJ/mol of formula units) = 1594
- E_tot (eV per atom) = -6.025



No. 11
VASP calculation (PBE) on Ac2InAu6 after structural relaxation.

Cell lengths 5.7593, 6.6203, 6.6203 Å; angles 60.03, 90.00, 90.00 degrees
Last column: nearest neighbours and their distance in Å.
Fractional coordinates of all 9 atoms:
Ac  0.8273  0.6667  0.6667  12 Au 3.32-3.43
Ac  0.1727  0.3333  0.3333  12 Au 3.32-3.43
In  0.0000  0.0000  0.0000  6 Au 2.82
Au  0.3224  0.3703  0.8148  1 In 2.82, 4 Au 2.94-2.95
Au  0.3227  0.8150  0.8150  1 In 2.82, 4 Au 2.95
Au  0.3224  0.8148  0.3703  1 In 2.82, 4 Au 2.94-2.95
Au  0.6776  0.6297  0.1852  1 In 2.82, 4 Au 2.94-2.95
Au  0.6773  0.1850  0.1850  1 In 2.82, 4 Au 2.95
Au  0.6776  0.1852  0.6297  1 In 2.82, 4 Au 2.94-2.95

- total moment (μB/atom) = 0.000
- energy of formation from the pure elements (kJ/mol of formula units) = -558
- E_tot (eV per atom) = -4.045



No. 12
VASP calculation (PBE) on Cs3K2PuF9 after structural relaxation.

Cell lengths 6.9356, 6.9356, 8.6545 Å; angles 90.00, 90.00, 120.00 degrees
Last column: nearest neighbours and their distance in Å.
Fractional coordinates of all 15 atoms:
Cs  0.3333  0.6667  0.7571  3 F 2.90
Cs  0.0000  0.0000  0.0000  12 F 3.47-3.51
Cs  0.6667  0.3333  0.2429  3 F 2.90
K  0.3333  0.6667  0.1847  6 F 2.56-2.69
K  0.6667  0.3333  0.8153  6 F 2.56-2.69
Pu  0.0000  0.0000  0.5000  6 F 2.16
F  0.8553  0.1447  0.6480  1 Pu 2.16
F  0.8553  0.7107  0.6480  1 Pu 2.16
F  0.2893  0.1447  0.6480  1 Pu 2.16
F  0.7107  0.8553  0.3520  1 Pu 2.16
F  0.1447  0.2893  0.3520  1 Pu 2.16
F  0.1447  0.8553  0.3520  1 Pu 2.16
F  0.5000  0.0000  0.0000  2 K 2.56
F  0.0000  0.5000  0.0000  2 K 2.56
F  0.5000  0.5000  0.0000  2 K 2.56

- total moment (μB/atom) = 0.267
- ΔE_f (raw) (eV per atom) = -3.02
- E_tot (eV per atom) = -5.420